Record 1
Computed, not measured: a relaxed Na2B3C crystal at the PBE-GGA level of DFT.

Values from the calculation:
Polymorph energy (0 for the lowest one) = 45.1 meV per atom
Symmetry = Pbcm
Raw total energy = -0.189 Ha/atom
Crystal system = orthorhombic

a = 5.916 Å, b = 5.002 Å, c = 8.635 Å
α = 90.00°, β = 90.00°, γ = 90.00°
Positions (direct):
1 Na 0.124 0.250 0.000
2 Na 0.124 0.250 0.500
3 Na 0.376 0.750 0.000
4 Na 0.376 0.750 0.500
5 Na 0.624 0.250 0.000
6 Na 0.624 0.250 0.500
7 Na 0.876 0.750 0.000
8 Na 0.876 0.750 0.500
9 B 0.116 0.586 0.250
10 B 0.116 0.914 0.750
11 B 0.360 0.056 0.250
12 B 0.360 0.444 0.750
13 B 0.377 0.068 0.750
14 B 0.377 0.432 0.250
15 B 0.623 0.568 0.750
16 B 0.623 0.932 0.250
17 B 0.640 0.556 0.250
18 B 0.640 0.944 0.750
19 B 0.884 0.086 0.250
20 B 0.884 0.414 0.750
21 C 0.118 0.574 0.750
22 C 0.118 0.926 0.250
23 C 0.882 0.074 0.750
24 C 0.882 0.426 0.250

=====

Record 2
Computed, not measured: a relaxed Na5B8C2 crystal at the PBE-GGA level of DFT.

Values from the calculation:
Polymorph energy (0 for the lowest one) = 31.0 meV per atom
Symmetry = P1
Raw total energy = -0.185 Ha/atom
Crystal system = triclinic

a = 5.029 Å, b = 7.828 Å, c = 9.149 Å
α = 72.11°, β = 89.98°, γ = 71.29°
Positions (direct):
1 Na 0.000 0.000 0.000
2 Na 0.096 0.799 0.500
3 Na 0.195 0.599 0.001
4 Na 0.299 0.401 0.498
5 Na 0.400 0.198 0.002
6 Na 0.499 0.001 0.497
7 Na 0.599 0.801 0.000
8 Na 0.695 0.601 0.501
9 Na 0.795 0.401 0.000
10 Na 0.900 0.201 0.498
11 B 0.041 0.282 0.749
12 B 0.062 0.503 0.751
13 B 0.185 0.300 0.250
14 B 0.222 0.919 0.748
15 B 0.328 0.703 0.249
16 B 0.344 0.915 0.249
17 B 0.411 0.492 0.752
18 B 0.464 0.697 0.751
19 B 0.590 0.489 0.250
20 B 0.616 0.101 0.748
21 B 0.686 0.304 0.750
22 B 0.730 0.897 0.249
23 B 0.779 0.112 0.250
24 B 0.803 0.707 0.751
25 B 0.890 0.896 0.749
26 B 0.959 0.685 0.250
27 C 0.116 0.110 0.250
28 C 0.293 0.101 0.748
29 C 0.522 0.300 0.250
30 C 0.926 0.490 0.251